Here is a relaxed structure of NpP2Rh3 from Alexandria. Energies are from PBE.

Calculated values
Raw total energy   -8.26 eV per atom
Density   10.59 g cm⁻³
Energy of formation from the pure elements   -622 meV per atom

a b c (Å): 3.760 7.533 7.534
angles (deg): 69.66 75.52 75.52
Each line ends with the local moment (μB).
Positions (direct):
Rh: 0.324 0.507 0.844  -0.01
Rh: 0.324 0.845 0.507  -0.01
Rh: 0.000 0.655 0.345  0.05
Rh: 0.000 0.345 0.655  0.05
Rh: 0.676 0.155 0.493  -0.01
Rh: 0.676 0.493 0.156  -0.01
Np: 0.109 0.892 0.892  2.89
Np: 0.891 0.108 0.108  2.89
P: 0.500 0.192 0.808  -0.03
P: 0.825 0.675 0.675  0.00
P: 0.175 0.325 0.325  0.00
P: 0.500 0.808 0.192  -0.03